# 1
# LaHfTa2Nb | Alexandria via LeMat-Bulk | PBE | optimized geometry
# - formation enthalpy at 0 K (eV per atom) = 1.36
# - space group = P4/mmm (123)
# - uncorrected energy (eV per atom) = -8.371
# - M_tot (μB per cell) = 0.00
data_LaHfTa2Nb
_space_group_name_H-M_alt 'P 1'
_space_group_IT_number 1
_cell_length_a 4.9729
_cell_length_b 5.2497
_cell_length_c 4.9729
_cell_angle_alpha 90.00
_cell_angle_beta 90.00
_cell_angle_gamma 90.00
loop_
_space_group_symop_operation_xyz
'x,y,z'
loop_
_atom_site_label
_atom_site_type_symbol
_atom_site_fract_x
_atom_site_fract_y
_atom_site_fract_z
Nb1 Nb 0.0000 0.0000 0.0000
La1 La 0.0000 0.5000 0.0000
Hf1 Hf 0.5000 0.5000 0.5000
Ta1 Ta 0.0000 0.0000 0.5000
Ta2 Ta 0.5000 0.0000 0.0000



# 2
# Ac3Zn2Ni2 | Alexandria via LeMat-Bulk | PBE | optimized geometry
# - formation enthalpy at 0 K (eV per atom) = -0.28
# - space group = C2/m (12)
# - uncorrected energy (eV per atom) = -4.061
# - M_tot (μB per cell) = 0.00
data_Ac3Zn2Ni2
_space_group_name_H-M_alt 'P 1'
_space_group_IT_number 1
_cell_length_a 4.2039
_cell_length_b 6.1112
_cell_length_c 8.2355
_cell_angle_alpha 110.54
_cell_angle_beta 90.00
_cell_angle_gamma 110.12
loop_
_space_group_symop_operation_xyz
'x,y,z'
loop_
_atom_site_label
_atom_site_type_symbol
_atom_site_fract_x
_atom_site_fract_y
_atom_site_fract_z
Ac1 Ac 0.3067 0.6134 0.3294
Ac2 Ac 0.6933 0.3866 0.6706
Ac3 Ac 0.5000 0.0000 0.0000
Zn1 Zn 0.9812 0.9625 0.6665
Zn2 Zn 0.0188 0.0375 0.3335
Ni1 Ni 0.8084 0.6168 0.0691
Ni2 Ni 0.1916 0.3832 0.9309



# 3
# TlAgBr5 | Alexandria via LeMat-Bulk | PBE | optimized geometry
# - energy relative to the elements, uncorrected (eV per atom) = -0.3180
# - space group = P-1 (2)
# - uncorrected energy (eV per atom) = -2.258
# - M_tot (μB per cell) = 0.00
data_TlAgBr5
_space_group_name_H-M_alt 'P 1'
_space_group_IT_number 1
_cell_length_a 7.9547
_cell_length_b 7.9513
_cell_length_c 9.9174
_cell_angle_alpha 107.99
_cell_angle_beta 108.02
_cell_angle_gamma 102.04
loop_
_space_group_symop_operation_xyz
'x,y,z'
loop_
_atom_site_label
_atom_site_type_symbol
_atom_site_fract_x
_atom_site_fract_y
_atom_site_fract_z
Tl1 Tl 0.8612 0.6388 0.2503
Tl2 Tl 0.1388 0.3612 0.7497
Ag1 Ag 0.5000 0.0000 0.0000
Ag2 Ag 0.5000 0.0000 0.5000
Br1 Br 0.7379 0.7221 0.0147
Br2 Br 0.2325 0.6732 0.3450
Br3 Br 0.4262 0.0692 0.2487
Br4 Br 0.7771 0.7627 0.4852
Br5 Br 0.2229 0.2373 0.5148
Br6 Br 0.8264 0.2673 0.1581
Br7 Br 0.1736 0.7327 0.8419
Br8 Br 0.5738 0.9308 0.7513
Br9 Br 0.7675 0.3268 0.6550
Br10 Br 0.2621 0.2779 0.9853



# 4
# Pm4Cd2Os | Alexandria via LeMat-Bulk | PBE | optimized geometry
# - formation enthalpy at 0 K (eV per atom) = 0.01
# - space group = I4/mmm (139)
# - distance to the lowest polymorph of the same formula (meV per atom) = 71
# - uncorrected energy (eV per atom) = -4.567
# - M_tot (μB per cell) = 0.00
data_Pm4Cd2Os
_space_group_name_H-M_alt 'P 1'
_space_group_IT_number 1
_cell_length_a 5.4733
_cell_length_b 5.4733
_cell_length_c 8.7101
_cell_angle_alpha 108.31
_cell_angle_beta 108.31
_cell_angle_gamma 90.00
loop_
_space_group_symop_operation_xyz
'x,y,z'
loop_
_atom_site_label
_atom_site_type_symbol
_atom_site_fract_x
_atom_site_fract_y
_atom_site_fract_z
Cd1 Cd 0.6210 0.6210 0.2419
Cd2 Cd 0.3790 0.3790 0.7581
Os1 Os 0.0000 0.0000 0.0000
Pm1 Pm 0.8224 0.8224 0.6449
Pm2 Pm 0.1776 0.1776 0.3551
Pm3 Pm 0.0000 0.5000 0.0000
Pm4 Pm 0.5000 0.0000 0.0000



# 5
# SrHgBr3 | Alexandria via LeMat-Bulk | PBE | optimized geometry
# - energy relative to the elements, uncorrected (eV per atom) = -0.8652
# - space group = Pm-3m (221)
# - distance to the lowest polymorph of the same formula (meV per atom) = 195
# - uncorrected energy (eV per atom) = -2.266
# - M_tot (μB per cell) = 0.00
data_SrHgBr3
_space_group_name_H-M_alt 'P 1'
_space_group_IT_number 1
_cell_length_a 5.6719
_cell_length_b 5.6719
_cell_length_c 5.6719
_cell_angle_alpha 90.00
_cell_angle_beta 90.00
_cell_angle_gamma 90.00
loop_
_space_group_symop_operation_xyz
'x,y,z'
loop_
_atom_site_label
_atom_site_type_symbol
_atom_site_fract_x
_atom_site_fract_y
_atom_site_fract_z
Sr1 Sr 0.5000 0.5000 0.5000
Hg1 Hg 0.0000 0.0000 0.0000
Br1 Br 0.0000 0.5000 0.0000
Br2 Br 0.0000 0.0000 0.5000
Br3 Br 0.5000 0.0000 0.0000



# 6
# Pr8Sm2Er3 | Alexandria via LeMat-Bulk | PBE | optimized geometry
# - formation enthalpy at 0 K (eV per atom) = 0.16
# - space group = C2/m (12)
# - distance to the lowest polymorph of the same formula (meV per atom) = 0
# - uncorrected energy (eV per atom) = -4.564
# - M_tot (μB per cell) = 0.00
data_Pr8Sm2Er3
_space_group_name_H-M_alt 'P 1'
_space_group_IT_number 1
_cell_length_a 6.1754
_cell_length_b 11.8434
_cell_length_c 8.9976
_cell_angle_alpha 131.16
_cell_angle_beta 72.40
_cell_angle_gamma 90.00
loop_
_space_group_symop_operation_xyz
'x,y,z'
loop_
_atom_site_label
_atom_site_type_symbol
_atom_site_fract_x
_atom_site_fract_y
_atom_site_fract_z
Pr1 Pr 0.7580 0.4143 0.8286
Pr2 Pr 0.2420 0.5857 0.1714
Pr3 Pr 0.1096 0.8618 0.7236
Pr4 Pr 0.8904 0.1382 0.2764
Pr5 Pr 0.3462 0.9229 0.3222
Pr6 Pr 0.3462 0.3992 0.3222
Pr7 Pr 0.6538 0.6008 0.6778
Pr8 Pr 0.6538 0.0771 0.6778
Sm1 Sm 0.6650 0.6881 0.3763
Sm2 Sm 0.3350 0.3119 0.6237
Er1 Er 0.5000 0.0000 0.0000
Er2 Er 0.0000 0.2671 0.0000
Er3 Er 0.0000 0.7329 0.0000



# 7
# BaTi2Pd2 | Alexandria via LeMat-Bulk | PBE | optimized geometry
# - formation enthalpy at 0 K (eV per atom) = -0.12
# - space group = P4/mbm (127)
# - distance to the lowest polymorph of the same formula (meV per atom) = 135
# - uncorrected energy (eV per atom) = -5.744
# - M_tot (μB per cell) = 3.41
data_BaTi2Pd2
_space_group_name_H-M_alt 'P 1'
_space_group_IT_number 1
_cell_length_a 8.2202
_cell_length_b 8.2202
_cell_length_c 3.0124
_cell_angle_alpha 90.00
_cell_angle_beta 90.00
_cell_angle_gamma 90.00
loop_
_space_group_symop_operation_xyz
'x,y,z'
loop_
_atom_site_label
_atom_site_type_symbol
_atom_site_fract_x
_atom_site_fract_y
_atom_site_fract_z
Ba1 Ba 0.0000 0.0000 0.0000
Ba2 Ba 0.5000 0.5000 0.0000
Pd1 Pd 0.1710 0.6710 0.5000
Pd2 Pd 0.6710 0.8290 0.5000
Pd3 Pd 0.8290 0.3290 0.5000
Pd4 Pd 0.3290 0.1710 0.5000
Ti1 Ti 0.3883 0.8883 0.0000
Ti2 Ti 0.8883 0.6117 0.0000
Ti3 Ti 0.6117 0.1117 0.0000
Ti4 Ti 0.1117 0.3883 0.0000



# 8
# Nd3TePt | Alexandria via LeMat-Bulk | PBE | optimized geometry
# - energy relative to the elements, uncorrected (eV per atom) = -1.0077
# - space group = P2_1/m (11)
# - uncorrected energy (eV per atom) = -5.705
# - M_tot (μB per cell) = 0.00
data_Nd3TePt
_space_group_name_H-M_alt 'P 1'
_space_group_IT_number 1
_cell_length_a 4.2265
_cell_length_b 8.3222
_cell_length_c 8.8817
_cell_angle_alpha 105.13
_cell_angle_beta 90.00
_cell_angle_gamma 90.00
loop_
_space_group_symop_operation_xyz
'x,y,z'
loop_
_atom_site_label
_atom_site_type_symbol
_atom_site_fract_x
_atom_site_fract_y
_atom_site_fract_z
Nd1 Nd 0.7500 0.6791 0.4065
Nd2 Nd 0.2500 0.3209 0.5935
Nd3 Nd 0.7500 0.3069 0.9405
Nd4 Nd 0.2500 0.9253 0.7471
Nd5 Nd 0.2500 0.6931 0.0595
Nd6 Nd 0.7500 0.0747 0.2529
Te1 Te 0.2500 0.3844 0.2355
Te2 Te 0.7500 0.6156 0.7645
Pt1 Pt 0.2500 0.9203 0.3913
Pt2 Pt 0.7500 0.0797 0.6087



Question: Look up the M_tot of the sixth one.
Answer: 0.00 μB per cell



Question: Which formula does entry 5 have?
Answer: SrHgBr3



Question: Which value of M_tot does entry 4 give?
Answer: 0.00 μB per cell